Density functional theory data (PBE) for crystalline SmRhPbAu at its relaxed geometry.

Lattice parameters (Å, degrees): 4.981 4.981 4.981 60.00 60.00 60.00
Fractional coordinates of all 4 atoms:
Pb 0.000 0.000 0.000
Rh 0.750 0.750 0.750
Au 0.250 0.250 0.250
Sm 0.500 0.500 0.500

The total magnetization comes out at 0.00 μB per cell. The calculation puts the calculated total energy at -20.83 eV for the cell shown.

Density functional theory data (PBE) for crystalline ThRhPbAu at its relaxed geometry.

Lattice parameters (Å, degrees): 5.044 5.044 5.044 60.00 60.00 60.00
Fractional coordinates of all 4 atoms:
Pb 0.500 0.500 0.500
Rh 0.750 0.750 0.750
Au 0.250 0.250 0.250
Th 0.000 0.000 0.000

The total magnetization comes out at 0.00 μB per cell. The calculation puts the calculated total energy at -23.63 eV for the cell shown.

Density functional theory data (PBE) for crystalline Th2Rh5PbAu at its relaxed geometry.

Lattice parameters (Å, degrees): 8.454 8.454 8.055 121.65 121.65 90.00
Fractional coordinates of all 18 atoms:
Th 0.140 0.360 0.000
Th 0.640 0.140 0.000
Th 0.360 0.860 0.000
Th 0.860 0.640 0.000
Rh 0.942 0.442 0.268
Rh 0.674 0.174 0.732
Rh 0.058 0.558 0.732
Rh 0.174 0.058 0.732
Rh 0.558 0.674 0.732
Rh 0.826 0.942 0.268
Rh 0.442 0.326 0.268
Rh 0.326 0.826 0.268
Rh 0.500 0.500 0.000
Rh 0.000 0.000 0.000
Pb 0.250 0.250 0.500
Pb 0.750 0.750 0.500
Au 0.250 0.750 0.500
Au 0.750 0.250 0.500

The total magnetization comes out at 0.00 μB per cell. The calculation puts the calculated total energy at -119.97 eV for the cell shown.

Density functional theory data (PBE) for crystalline Tl2RhPbAu at its relaxed geometry.

Lattice parameters (Å, degrees): 5.270 5.270 5.226 90.00 90.00 90.00
Fractional coordinates of all 5 atoms:
Pb 0.000 0.000 0.500
Rh 0.000 0.000 0.000
Tl 0.000 0.500 0.000
Tl 0.500 0.000 0.000
Au 0.500 0.500 0.500

The total magnetization comes out at 0.00 μB per cell. The calculation puts the calculated total energy at -18.49 eV for the cell shown.

Density functional theory data (PBE) for crystalline TmRhPbAu at its relaxed geometry.

Lattice parameters (Å, degrees): 4.889 4.889 4.889 60.00 60.00 60.00
Fractional coordinates of all 4 atoms:
Pb 0.250 0.250 0.250
Rh 0.000 0.000 0.000
Tm 0.750 0.750 0.750
Au 0.500 0.500 0.500

The total magnetization comes out at 0.00 μB per cell. The calculation puts the calculated total energy at -20.70 eV for the cell shown.

Density functional theory data (PBE) for crystalline RuPb2Au at its relaxed geometry.

Lattice parameters (Å, degrees): 4.982 4.982 4.982 60.00 60.00 60.00
Fractional coordinates of all 4 atoms:
Au 0.500 0.500 0.500
Pb 0.000 0.000 0.000
Pb 0.250 0.250 0.250
Ru 0.750 0.750 0.750

The total magnetization comes out at 0.00 μB per cell. Its energy above the most stable polymorph in this dataset is 332 meV/atom.

Density functional theory data (PBE) for crystalline Ru2PbAu at its relaxed geometry.

Lattice parameters (Å, degrees): 4.565 4.565 3.278 90.00 90.00 89.99
Fractional coordinates of all 4 atoms:
Au 0.500 0.000 0.500
Pb 0.000 0.500 0.500
Ru 0.000 0.000 0.000
Ru 0.500 0.500 0.000

The total magnetization comes out at 0.00 μB per cell. The calculation puts the calculated total energy at -23.55 eV for the cell shown.

Density functional theory data (PBE) for crystalline RuPb2Au at its relaxed geometry.

Lattice parameters (Å, degrees): 5.695 5.695 5.695 136.83 136.83 62.70
Fractional coordinates of all 4 atoms:
Au 0.750 0.250 0.500
Pb 0.000 0.000 0.000
Pb 0.250 0.750 0.500
Ru 0.500 0.500 0.000

The total magnetization comes out at 0.00 μB per cell. Its energy above the most stable polymorph in this dataset is 193 meV/atom.

Density functional theory data (PBE) for crystalline RuPb2Au at its relaxed geometry.

Lattice parameters (Å, degrees): 6.570 6.570 7.402 63.66 63.66 90.00
Fractional coordinates of all 8 atoms:
Pb 0.596 0.125 0.250
Pb 0.154 0.625 0.250
Pb 0.375 0.404 0.750
Pb 0.875 0.846 0.750
Ru 0.500 0.500 0.000
Ru 0.250 0.750 0.500
Au 0.000 0.000 0.000
Au 0.750 0.250 0.500

The total magnetization comes out at 0.00 μB per cell. Its energy above the most stable polymorph in this dataset is 430 meV/atom.

Density functional theory data (PBE) for crystalline Ru2Pb2Au at its relaxed geometry.

Lattice parameters (Å, degrees): 7.520 7.520 3.425 90.00 90.00 90.00
Fractional coordinates of all 10 atoms:
Pb 0.161 0.661 0.500
Pb 0.661 0.839 0.500
Pb 0.839 0.339 0.500
Pb 0.339 0.161 0.500
Ru 0.361 0.861 0.000
Ru 0.861 0.639 0.000
Ru 0.639 0.139 0.000
Ru 0.139 0.361 0.000
Au 0.000 0.000 0.000
Au 0.500 0.500 0.000

The total magnetization comes out at 0.00 μB per cell. The calculation puts the calculated total energy at -54.74 eV for the cell shown.

Density functional theory data (PBE) for crystalline Ru2PbAu at its relaxed geometry.

Lattice parameters (Å, degrees): 5.861 5.861 5.861 150.82 132.17 57.01
Each line ends with the local moment (μB).
Fractional coordinates of all 4 atoms:
Au 0.488 0.488 0.000  0.04
Pb 0.771 0.271 0.500  0.00
Ru 0.019 0.019 0.000  0.63
Ru 0.222 0.722 0.500  0.46

The total magnetization comes out at 1.17 μB per cell. The calculation puts the calculated total energy at -23.33 eV for the cell shown.

Density functional theory data (PBE) for crystalline Ru2PbAu at its relaxed geometry.

Lattice parameters (Å, degrees): 4.973 4.973 4.894 80.06 80.06 35.90
Fractional coordinates of all 4 atoms:
Au 0.494 0.494 0.515
Pb 0.256 0.256 0.244
Ru 0.010 0.010 0.975
Ru 0.740 0.740 0.766

The total magnetization comes out at 0.00 μB per cell. The calculation puts the calculated total energy at -23.48 eV for the cell shown.